Compound: LiCr2GaO4
Source: Alexandria via LeMat-Bulk
Functional: PBE with a Hubbard U
Structure: relaxed

The total magnetic moment comes out at 6.6 μB/cell. The total DFT energy (no corrections) is -52.17 eV for the cell shown.

Cell: 5.2135 3.0639 5.2787 Å, 90.00 104.62 90.00°
Space group P2/m (No. 10)
Symmetry-distinct sites (fractional):
Li  0.0000  0.0000  0.0000 [1 per cell]
Cr  0.0000  0.5000  0.5000 [1 per cell]
Cr  0.5000  0.0000  0.5000 [1 per cell]
Ga  0.5000  0.5000  0.0000 [1 per cell]
O  0.2796  0.5000  0.2775 [2 per cell]
O  0.2812  0.0000  0.7871 [2 per cell]